BaSi3Pt3 PBE-GGA relaxed; space-group type = Pm-3n, No. 223; distance to the lowest polymorph of the same formula = 0 meV/atom; energy relative to the elements, uncorrected = -770 meV/atom; Fermi-level density of states = 11.5 states/eV/cell; total magnetic moment = 0.00 μB/f.u.
1.0
6.7366 0.0000 0.0000
0.0000 6.7366 0.0000
0.0000 0.0000 6.7366
Ba Si Pt
2 6 6
direct
0.0000 0.0000 0.0000 Ba
0.5000 0.5000 0.5000 Ba
0.0000 0.2500 0.5000 Si
0.0000 0.7500 0.5000 Si
0.2500 0.5000 0.0000 Si
0.5000 0.0000 0.2500 Si
0.5000 0.0000 0.7500 Si
0.7500 0.5000 0.0000 Si
0.0000 0.5000 0.2500 Pt
0.0000 0.5000 0.7500 Pt
0.2500 0.0000 0.5000 Pt
0.5000 0.2500 0.0000 Pt
0.5000 0.7500 0.0000 Pt
0.7500 0.0000 0.5000 Pt